Ni2HgF6 | GGA+U | optimized geometry

As for the space-group type: P4_2/mnm. As for the density of states at the Fermi level: 0.000 states/eV/cell. The calculated volume comes out at 240 Å³ per cell. The density is 5.97 g/cm³. The distance to the lowest polymorph of the same formula comes out at 24 kJ/mol of formula units.

Lattice parameters (Å, degrees): 4.932 4.932 9.872 90.00 90.00 90.00
Site moments in Bohr magnetons follow the coordinates.
Fractional positions:
1 Ni 0.500 0.500 0.668  1.84
2 Ni 0.000 0.000 0.832  1.84
3 Ni 0.000 0.000 0.168  1.84
4 Ni 0.500 0.500 0.332  1.84
5 F 0.708 0.708 0.185  0.04
6 F 0.708 0.708 0.815  0.04
7 F 0.326 0.326 0.500  0.04
8 F 0.208 0.792 0.315  0.04
9 F 0.792 0.208 0.685  0.04
10 F 0.292 0.292 0.185  0.04
11 F 0.174 0.826 0.000  0.04
12 F 0.208 0.792 0.685  0.04
13 F 0.826 0.174 0.000  0.04
14 F 0.674 0.674 0.500  0.04
15 F 0.292 0.292 0.815  0.04
16 F 0.792 0.208 0.315  0.04
17 Hg 0.500 0.500 0.000  0.00
18 Hg 0.000 0.000 0.500  0.00

***

HfMoI2O | GGA+U | optimized geometry

As for the space-group type: P4/mmm. As for the density of states at the Fermi level: 5.587 states/eV/cell. The calculated volume comes out at 135 Å³ per cell. The density is 6.72 g/cm³. The distance to the lowest polymorph of the same formula comes out at 366 kJ/mol of formula units.

Lattice parameters (Å, degrees): 5.910 5.910 3.851 90.00 90.00 90.00
Site moments in Bohr magnetons follow the coordinates.
Fractional positions:
1 I 0.500 0.000 0.000  -0.02
2 I 0.000 0.500 0.000  -0.02
3 Mo 0.000 0.000 0.000  2.93
4 O 0.000 0.000 0.500  -0.13
5 Hf 0.500 0.500 0.500  1.04

***

Final energy for the records above, in order: -3.746, -4.870 eV/atom